DFT (meta-GGA SCAN) results for a PBEsol-optimized structure of BaSiHg.

Lattice parameters (Å, degrees): 4.4924 4.4924 4.8904 90.00 90.00 120.00
Last column: nearest neighbours and their distance in Å.
Sites, in units of the cell vectors:
Ba 0.0000 0.0000 0.0000  6 Hg 3.56, 6 Si 3.56
Si 0.6667 0.3333 0.5000  3 Hg 2.59
Hg 0.3333 0.6667 0.5000  3 Si 2.59

Calculated values
The spin magnetization is 0.00 μB/cell. The calculation puts the formation energy (no corrections) at -11.73 kcal/mol of atoms. The symmetry is No. 187. Its volume is 85.5 Å³/f.u. The total energy is -39.7527 eV per atom.